Below is a geometry-optimized CsBi12Au7 structure, with properties calculated at the PBE level.

## Properties
ΔH_f (0 K)   -0.015 eV/atom

Unit cell a=7.827 b=9.690 c=9.690 alpha=66.97 beta=74.38 gamma=105.62
Atoms (fractional coordinates):
1 Cs 0.000 0.000 0.000
2 Bi 0.800 0.508 0.167
3 Bi 0.033 0.833 0.675
4 Bi 0.424 0.287 0.065
5 Bi 0.511 0.935 0.352
6 Bi 0.708 0.675 0.492
7 Bi 0.863 0.352 0.713
8 Bi 0.137 0.648 0.287
9 Bi 0.292 0.325 0.508
10 Bi 0.489 0.065 0.648
11 Bi 0.576 0.713 0.935
12 Bi 0.967 0.167 0.325
13 Bi 0.200 0.492 0.833
14 Au 0.796 0.254 0.067
15 Au 0.137 0.933 0.321
16 Au 0.458 0.321 0.746
17 Au 0.500 0.000 0.000
18 Au 0.542 0.679 0.254
19 Au 0.863 0.067 0.679
20 Au 0.204 0.746 0.933

Below is a geometry-optimized BeHgAu structure, with properties calculated at the PBE level.

## Properties
ΔH_f (0 K)   -0.009 eV/atom
Excess energy over the best structure of this formula in the dataset   1.7 kJ per mole of atoms

Unit cell a=3.339 b=3.607 c=9.080 alpha=90.00 beta=101.59 gamma=90.00
Atoms (fractional coordinates):
1 Be 0.755 0.353 0.008
2 Be 0.245 0.853 0.992
3 Au 0.155 0.353 0.824
4 Au 0.845 0.853 0.176
5 Hg 0.546 0.853 0.631
6 Hg 0.454 0.353 0.369

Below is a geometry-optimized LuGaCoRh structure, with properties calculated at the PBE level.

## Properties
ΔH_f (0 K)   -0.597 eV/atom

Unit cell a=4.427 b=4.427 c=4.427 alpha=60.00 beta=60.00 gamma=60.00
Atoms (fractional coordinates):
1 Co 0.000 0.000 0.000
2 Lu 0.750 0.750 0.750
3 Rh 0.500 0.500 0.500
4 Ga 0.250 0.250 0.250

Below is a geometry-optimized Na3DyBi2S6 structure, with properties calculated at the PBE level.

## Properties
E_form (uncorrected)   -1117 meV/atom

Unit cell a=7.017 b=7.017 c=7.138 alpha=99.44 beta=99.44 gamma=120.02
Atoms (fractional coordinates):
1 Na 0.171 0.829 0.500
2 Na 0.829 0.171 0.500
3 Na 0.500 0.500 0.500
4 Dy 0.000 0.000 0.000
5 Bi 0.334 0.666 0.000
6 Bi 0.666 0.334 0.000
7 S 0.922 0.597 0.767
8 S 0.752 0.752 0.233
9 S 0.078 0.403 0.233
10 S 0.597 0.922 0.767
11 S 0.248 0.248 0.767
12 S 0.403 0.078 0.233

Below is a geometry-optimized Al2ZnGa structure, with properties calculated at the PBE level.

## Properties
ΔH_f (0 K)   0.029 eV/atom

Unit cell a=2.933 b=2.933 c=17.863 alpha=90.00 beta=90.00 gamma=120.00
Atoms (fractional coordinates):
1 Al 0.333 0.667 0.370
2 Al 0.667 0.333 0.630
3 Al 0.667 0.333 0.870
4 Al 0.333 0.667 0.130
5 Zn 0.333 0.667 0.750
6 Zn 0.667 0.333 0.250
7 Ga 0.000 0.000 0.500
8 Ga 0.000 0.000 0.000